MgP2SBr | Alexandria via LeMat-Bulk | GGA-PBE | relaxed; symmetry = P4/mmm (123); calculated density = 2.8 Mg/m³; VASP energy = -14.14 eV/cell; crystal system = tetragonal; formation energy without anion corrections = 0.8153 eV/atom; energy relative to the lowest polymorph listed for this composition = 0 kJ/mol of formula units
1.0
5.023 0.000 0.000
0.000 5.023 0.000
0.000 0.000 4.596
Mg P S Br
1 2 1 1
Cartesian
0.000 0.000 0.000
0.000 2.511 0.000
2.511 0.000 0.000
0.000 0.000 2.298
2.511 2.511 2.298